1.
Material: Mn2BiPt2
Method: DFT, PBE
State: optimized geometry

Calculated values
- Density: 13.137 Mg/m³
- M_tot: 17.1 μB per cell
- Volume: 17.925 A^3/atom
- Energy relative to the elements: -0.176 eV/atom

```
Mn2BiPt2
1.0
7.713 0.000 0.000
0.000 7.713 0.000
0.000 0.000 3.013
Mn Bi Pt
4 2 4
Cartesian
1.196 2.661 0.000
2.661 6.517 0.000
5.052 1.196 0.000
6.517 5.052 0.000
0.000 0.000 1.507
3.856 3.856 1.507
1.045 4.901 1.507
2.811 1.045 1.507
4.901 6.668 1.507
6.668 2.811 1.507
```


2.
Material: BaPtAu4
Method: DFT, PBE
State: optimized geometry

Calculated values
- Density: 14.370 Mg/m³
- M_tot: 0.0 μB per cell
- Volume: 21.576 A^3/atom
- Energy relative to the elements: -0.254 eV/atom

```
BaPtAu4
1.0
0.000 4.015 4.015
4.015 0.000 4.015
4.015 4.015 0.000
Ba Pt Au
1 1 4
Cartesian
0.000 0.000 0.000
6.023 6.023 6.023
3.018 3.018 3.018
5.012 5.012 3.018
5.012 3.018 5.012
3.018 5.012 5.012
```


3.
Material: Li4TbPb
Method: DFT, PBE
State: optimized geometry

Calculated values
- Density: 5.209 Mg/m³
- M_tot: 0.0 μB per cell
- Volume: 20.929 A^3/atom
- Energy relative to the elements: -0.100 eV/atom

```
Li4TbPb
1.0
0.000 3.975 3.975
3.975 0.000 3.975
3.975 3.975 0.000
Li Tb Pb
4 1 1
Cartesian
0.990 0.990 0.990
2.984 2.984 0.990
2.984 0.990 2.984
0.990 2.984 2.984
5.962 5.962 5.962
3.975 3.975 3.975
```


4.
Material: Tc2HgBr
Method: DFT, PBE
State: optimized geometry

Calculated values
- Density: 11.105 Mg/m³
- M_tot: 0.0 μB per cell
- Volume: 17.813 A^3/atom
- Formation energy (no corrections): 870 meV/atom

```
Tc2HgBr
1.0
4.245 -1.498 0.000
4.245 1.498 0.000
-1.116 0.000 5.601
Tc Hg Br
2 1 1
Cartesian
1.895 0.000 1.120
5.479 0.000 4.481
-0.558 0.000 2.801
4.245 0.000 0.000
```


5.
Material: Ag3OsC
Method: DFT, PBE
State: optimized geometry

Calculated values
- Density: 6.868 Mg/m³
- M_tot: 0.0 μB per cell
- Volume: 25.429 A^3/atom
- Energy relative to the elements: 2.911 eV/atom

```
Ag3OsC
1.0
5.028 0.000 0.000
0.000 5.028 0.000
0.000 0.000 5.028
Ag Os C
3 1 1
Cartesian
0.000 0.000 2.514
0.000 2.514 0.000
2.514 0.000 0.000
0.000 0.000 0.000
2.514 2.514 2.514
```


6.
Material: TbNd4Ho8
Method: DFT, PBE
State: optimized geometry

Calculated values
- Density: 7.201 Mg/m³
- M_tot: 1.7 μB per cell
- Volume: 36.460 A^3/atom
- Energy relative to the elements: 0.518 eV/atom

```
TbNd4Ho8
1.0
5.515 3.184 4.498
-5.515 3.184 4.498
0.000 -6.369 4.498
Tb Nd Ho
1 4 8
Cartesian
0.000 0.000 0.000
-5.515 0.000 6.747
-2.758 1.592 2.249
2.758 1.592 2.249
0.000 0.000 6.747
0.000 0.000 3.508
0.000 -3.059 5.668
-2.650 1.530 5.668
-2.650 -1.530 7.825
2.650 1.530 5.668
2.650 -1.530 7.825
0.000 3.059 7.825
0.000 0.000 9.985
```